! Zn6Cu12Pt PBE optimized geometry; values from VASP
! DFT formation energy ... -0.044 eV per atom
! Fermi-level density of states ... 5.9 states/eV/cell
! ρ ... 8.80 Mg/m³
! M_tot ... 0.00 μB per formula unit
! Total DFT energy (no corrections) ... -3.3515 eV per atom
&SYSTEM
  ibrav = 0, nat = 19, ntyp = 3
/
ATOMIC_SPECIES
Zn 65.41 Zn.upf
Cu 63.55 Cu.upf
Pt 195.08 Pt.upf
CELL_PARAMETERS angstrom
4.4764 2.5845 3.6692
-4.4764 2.5845 3.6692
0.0000 -5.1689 3.6692
ATOMIC_POSITIONS angstrom
Zn -2.4829 -0.6061 5.9087
Zn -0.7166 -2.4533 5.0989
Zn -1.7663 1.8472 5.0989
Zn 1.7663 -1.8472 5.9087
Zn 0.7166 2.4533 5.9087
Zn 2.4829 0.6061 5.0989
Cu -4.0883 0.9769 4.6196
Cu -2.8901 -3.0521 6.3880
Cu -1.5065 -0.1980 3.3692
Cu 1.1981 -4.0290 4.6196
Cu 0.9247 -1.2057 3.3692
Cu 0.5818 1.4037 3.3692
Cu -0.5818 -1.4037 7.6384
Cu -0.9247 1.2057 7.6384
Cu -1.1981 4.0290 6.3880
Cu 1.5065 0.1980 7.6384
Cu 2.8901 3.0521 4.6196
Cu 4.0883 -0.9769 6.3880
Pt 0.0000 0.0000 5.5038